[1]
Computed, not measured: a relaxed structure of LiY2OsC at the GGA-PBE level of DFT.

- N(E_F) (states/eV/f.u.) = 3.43
- total magnetization (μB per formula unit) = 0.000
- energy of formation from the pure elements (kJ/mol of formula units) = -139
- mass density (g/cm³) = 6.56

a = 5.006 Å, b = 5.006 Å, c = 3.910 Å
α = 90.00°, β = 90.00°, γ = 90.00°
Atoms (fractional coordinates):
Li (0.000, 0.000, 0.000)
Y (0.000, 0.500, 0.500)
Y (0.500, 0.000, 0.500)
Os (0.500, 0.500, 0.000)
C (0.500, 0.500, 0.500)


[2]
Computed, not measured: a relaxed structure of Li2PC at the GGA-PBE level of DFT.

- total magnetization (μB per formula unit) = 0.000
- energy of formation from the pure elements (kJ/mol of formula units) = -62
- mass density (g/cm³) = 1.60
- energy above the most stable polymorph in this dataset (eV/atom) = 0.062

a = 4.388 Å, b = 4.780 Å, c = 5.920 Å
α = 74.93°, β = 84.70°, γ = 79.71°
Atoms (fractional coordinates):
Li (0.000, 0.000, 0.000)
Li (0.046, 0.770, 0.516)
Li (0.403, 0.380, 0.938)
Li (0.741, 0.391, 0.295)
P (0.473, 0.029, 0.652)
P (0.514, 0.924, 0.298)
C (0.716, 0.726, 0.814)
C (0.906, 0.509, 0.917)


[3]
Computed, not measured: a relaxed structure of LiPC at the GGA-PBE level of DFT.

- total magnetization (μB per formula unit) = 0.000
- energy of formation from the pure elements (kJ/mol of formula units) = 6
- mass density (g/cm³) = 2.41
- energy above the most stable polymorph in this dataset (eV/atom) = 0.054

a = 2.888 Å, b = 2.888 Å, c = 14.266 Å
α = 90.00°, β = 90.00°, γ = 120.00°
Atoms (fractional coordinates):
Li (0.000, 0.000, 0.000)
Li (0.333, 0.667, 0.667)
Li (0.667, 0.333, 0.333)
P (0.000, 0.000, 0.175)
P (0.333, 0.667, 0.841)
P (0.667, 0.333, 0.508)
C (0.000, 0.000, 0.785)
C (0.333, 0.667, 0.452)
C (0.667, 0.333, 0.119)


[4]
Computed, not measured: a relaxed structure of LiPC3 at the GGA-PBE level of DFT.

- N(E_F) (states/eV/f.u.) = 1.54
- total magnetization (μB per formula unit) = 0.000
- energy of formation from the pure elements (kJ/mol of formula units) = 839
- mass density (g/cm³) = 2.61

a = 3.610 Å, b = 3.610 Å, c = 3.610 Å
α = 90.00°, β = 90.00°, γ = 90.00°
Atoms (fractional coordinates):
Li (0.000, 0.000, 0.000)
P (0.500, 0.500, 0.500)
C (0.000, 0.500, 0.500)
C (0.500, 0.000, 0.500)
C (0.500, 0.500, 0.000)


[5]
Computed, not measured: a relaxed structure of LiPC at the GGA-PBE level of DFT.

- total magnetization (μB per formula unit) = 0.000
- energy of formation from the pure elements (kJ/mol of formula units) = 44
- mass density (g/cm³) = 1.64
- energy above the most stable polymorph in this dataset (eV/atom) = 0.184

a = 8.328 Å, b = 4.183 Å, c = 5.961 Å
α = 90.00°, β = 102.68°, γ = 90.00°
Atoms (fractional coordinates):
Li (0.000, 0.000, 0.000)
Li (0.246, 0.500, 0.290)
Li (0.500, 0.500, 0.000)
Li (0.746, 0.000, 0.290)
P (0.246, 0.000, 0.822)
P (0.401, 0.000, 0.165)
P (0.746, 0.500, 0.822)
P (0.901, 0.500, 0.165)
C (0.289, 0.350, 0.678)
C (0.289, 0.650, 0.678)
C (0.789, 0.150, 0.678)
C (0.789, 0.850, 0.678)


[6]
Computed, not measured: a relaxed structure of Li2PC at the GGA-PBE level of DFT.

- N(E_F) (states/eV/f.u.) = 0.99
- total magnetization (μB per formula unit) = 0.042
- energy of formation from the pure elements (kJ/mol of formula units) = -48
- mass density (g/cm³) = 1.60
- energy above the most stable polymorph in this dataset (eV/atom) = 0.098

a = 3.981 Å, b = 3.854 Å, c = 7.764 Å
α = 90.00°, β = 97.54°, γ = 90.00°
Atoms (fractional coordinates):
Li (0.000, 0.000, 0.000)
Li (0.011, 0.500, 0.457)
Li (0.453, 0.500, 0.258)
Li (0.523, 0.500, 0.760)
P (0.052, 0.000, 0.669)
P (0.543, 0.000, 0.511)
C (0.740, 0.500, 0.026)
C (0.938, 0.500, 0.167)


[7]
Computed, not measured: a relaxed structure of LiPC at the GGA-PBE level of DFT.

- N(E_F) (states/eV/f.u.) = 0.10
- total magnetization (μB per formula unit) = 0.000
- energy of formation from the pure elements (kJ/mol of formula units) = -1
- mass density (g/cm³) = 2.07
- energy above the most stable polymorph in this dataset (eV/atom) = 0.030

a = 3.866 Å, b = 4.291 Å, c = 5.516 Å
α = 101.10°, β = 109.34°, γ = 104.05°
Atoms (fractional coordinates):
Li (0.000, 0.000, 0.000)
Li (0.266, 0.989, 0.560)
P (0.704, 0.474, 0.143)
P (0.942, 0.439, 0.661)
C (0.137, 0.438, 0.396)
C (0.496, 0.442, 0.398)


[8]
Computed, not measured: a relaxed structure of LiPC at the GGA-PBE level of DFT.

- total magnetization (μB per formula unit) = 0.000
- energy of formation from the pure elements (kJ/mol of formula units) = 0
- mass density (g/cm³) = 2.41
- energy above the most stable polymorph in this dataset (eV/atom) = 0.032

a = 2.901 Å, b = 4.450 Å, c = 5.512 Å
α = 88.27°, β = 74.97°, γ = 89.98°
Atoms (fractional coordinates):
Li (0.000, 0.000, 0.000)
Li (0.400, 0.468, 0.205)
P (0.106, 0.515, 0.782)
P (0.755, 0.023, 0.479)
C (0.240, 0.783, 0.511)
C (0.617, 0.270, 0.760)